{
  "formula": "HfZnFeO2",
  "functional": "PBE with a Hubbard U",
  "state": "optimized geometry",
  "cell": [[3.9346, 0.0000, 0.0000], [0.0000, 5.1161, 0.0000], [0.0000, 0.0000, 3.9346]],
  "species": ["O", "Hf", "O", "Zn", "Fe"],
  "frac_coords": [[0.0000, 0.0000, 0.5000], [0.0000, 0.5000, 0.0000], [0.5000, 0.0000, 0.0000], [0.0000, 0.0000, 0.0000], [0.5000, 0.5000, 0.5000]],
  "m_tot_mub_per_cell": 3.52,
  "volume_a3_per_atom": 15.8,
  "dft_energy_ha_per_atom": -0.17929,
  "dos_at_fermi_per_ev_cell": 3.471
}